VASP calculation (GGA-PBE) on a relaxed Tm2NpIr9 crystal.

Cell and atoms, written as extended XYZ:
```
12
Lattice="2.6415 1.5251 8.7461 -2.6415 1.5251 8.7461 0.0000 -3.0501 8.7461" Properties=species:S:1:pos:R:3 pbc="T T T"
Tm 0.0000 0.0000 3.6722
Tm 0.0000 0.0000 22.5662
Np 0.0000 0.0000 0.0000
Ir -1.3229 -0.7638 10.9187
Ir 0.0000 0.0000 8.7490
Ir 0.0000 -1.5275 15.3196
Ir -1.3229 0.7638 15.3196
Ir 0.0000 0.0000 13.1192
Ir 1.3229 -0.7638 10.9187
Ir 0.0000 1.5275 10.9187
Ir 0.0000 0.0000 17.4893
Ir 1.3229 0.7638 15.3196
```

Output
space-group type	R-3m (166)
energy of formation	-0.505	eV/atom

VASP calculation (GGA-PBE) on a relaxed ErTm2Mg5Sc2 crystal.

Cell and atoms, written as extended XYZ:
```
20
Lattice="10.2652 0.0000 0.0000 0.0000 10.2652 0.0000 0.0000 0.0000 4.9349" Properties=species:S:1:pos:R:3 pbc="T T T"
Er 0.0000 0.0000 0.0000
Er 5.1326 5.1326 0.0000
Tm 1.8327 3.2999 0.0000
Tm 3.2999 8.4325 0.0000
Tm 6.9653 1.8327 0.0000
Tm 8.4325 6.9653 0.0000
Mg 0.0000 5.1326 2.4675
Mg 0.7207 8.1868 2.4675
Mg 2.0784 0.7207 2.4675
Mg 3.0542 5.8533 2.4675
Mg 4.4119 3.0542 2.4675
Mg 5.1326 0.0000 2.4675
Mg 5.8533 7.2110 2.4675
Mg 7.2110 4.4119 2.4675
Mg 8.1868 9.5444 2.4675
Mg 9.5444 2.0784 2.4675
Sc 1.1907 6.3233 0.0000
Sc 3.9419 1.1907 0.0000
Sc 6.3233 9.0745 0.0000
Sc 9.0745 3.9419 0.0000
```

Output
space-group type	P4/mbm (127)
energy of formation	0.051	eV/atom

VASP calculation (GGA-PBE) on a relaxed K3NdSb2O6 crystal.

Cell and atoms, written as extended XYZ:
```
12
Lattice="6.2449 0.0000 0.0000 -3.1225 5.4083 0.0000 0.0000 0.0000 7.2607" Properties=species:S:1:pos:R:3 pbc="T T T"
K 0.0000 0.0000 0.0000
K 0.0000 3.6055 4.6819
K 3.1225 1.8028 2.5788
Nd 0.0000 0.0000 3.6304
Sb 0.0000 3.6055 1.2618
Sb 3.1225 1.8028 5.9989
O 0.0000 1.8917 2.2125
O -1.4842 4.4624 2.2125
O 1.6382 0.9458 5.0482
O 1.4842 4.4624 2.2125
O 4.6067 0.9458 5.0482
O 3.1225 3.5166 5.0482
```

Output
space-group type	P-3m1 (164)
formation energy from raw total energies	-23.6	eV per formula unit

VASP calculation (GGA-PBE) on a relaxed KIn3Au crystal.

Cell and atoms, written as extended XYZ:
```
5
Lattice="6.1141 0.0000 0.0000 0.0000 6.1141 0.0000 0.0000 0.0000 6.1141" Properties=species:S:1:pos:R:3 pbc="T T T"
K 0.0000 0.0000 0.0000
In 0.0000 0.0000 3.0571
In 0.0000 3.0571 0.0000
In 3.0571 0.0000 0.0000
Au 3.0571 3.0571 3.0571
```

Output
space-group type	Pm-3m (221)
energy of formation	1.019	eV/atom
excess energy over the best structure of this formula in the dataset	1238	meV per atom

VASP calculation (GGA-PBE) on a relaxed Nb6Mo5Pt crystal.

Cell and atoms, written as extended XYZ:
```
12
Lattice="3.9545 -6.8602 0.0000 3.9545 6.8602 0.0000 -2.6486 0.0000 3.7366" Properties=species:S:1:pos:R:3 pbc="T T T"
Nb -0.0297 2.3198 2.7881
Nb 1.2722 0.0000 0.9046
Nb -0.0297 -2.3198 2.7881
Nb 5.2901 2.3198 0.9485
Nb 3.9882 0.0000 2.8319
Nb 5.2901 -2.3198 0.9485
Mo -1.3243 0.0000 1.8683
Mo 3.9545 4.5648 0.0000
Mo 2.6302 2.2420 1.8683
Mo 2.6302 -2.2420 1.8683
Mo 3.9545 -4.5648 0.0000
Pt 3.9545 0.0000 0.0000
```

Output
space-group type	C2/m (12)
energy of formation	-0.222	eV/atom

VASP calculation (GGA-PBE) on a relaxed IrPtCl2 crystal.

Cell and atoms, written as extended XYZ:
```
4
Lattice="0.0000 3.1955 3.1955 3.1955 0.0000 3.1955 3.1955 3.1955 0.0000" Properties=species:S:1:pos:R:3 pbc="T T T"
Ir 0.0000 0.0000 0.0000
Pt 3.1955 3.1955 3.1955
Cl 1.5977 1.5977 1.5977
Cl 4.7932 4.7932 4.7932
```

Output
space-group type	Fm-3m (225)
excess energy over the best structure of this formula in the dataset	1144	meV per atom
formation energy from raw total energies	4.6	eV per formula unit

VASP calculation (GGA-PBE) on a relaxed Ba2CaSn2Sb4 crystal.

Cell and atoms, written as extended XYZ:
```
9
Lattice="8.2974 -2.7559 0.0000 8.2974 2.7559 0.0000 -2.1543 0.0000 6.8768" Properties=species:S:1:pos:R:3 pbc="T T T"
Ba 2.0540 0.0000 0.7532
Ba 12.3864 0.0000 6.1236
Ca -1.0772 0.0000 3.4384
Sn 4.6139 0.0000 3.2453
Sn 9.8265 0.0000 3.6315
Sb 1.9143 0.0000 4.7391
Sb 7.7666 0.0000 1.4608
Sb 6.6738 0.0000 5.4160
Sb 12.5261 0.0000 2.1378
```

Output
space-group type	C2/m (12)
formation energy from raw total energies	-5.8	eV per formula unit

VASP calculation (GGA-PBE) on a relaxed Eu2TeP crystal.

Cell and atoms, written as extended XYZ:
```
4
Lattice="2.1733 1.2547 7.3026 -2.1733 1.2547 7.3026 0.0000 -2.5095 7.3026" Properties=species:S:1:pos:R:3 pbc="T T T"
Eu 0.0000 0.0000 5.2554
Eu 0.0000 0.0000 16.6524
Te 0.0000 0.0000 0.0000
P 0.0000 0.0000 10.9539
```

Output
space-group type	R-3m (166)
formation energy from raw total energies	-5.6	eV per formula unit

VASP calculation (GGA-PBE) on a relaxed TaMn2As crystal.

Cell and atoms, written as extended XYZ:
```
4
Lattice="2.8500 0.0000 0.0000 0.0000 3.8793 0.0000 -1.4234 0.0000 5.2878" Properties=species:S:1:pos:R:3 pbc="T T T"
Ta 0.0000 0.0000 0.0000
Mn 0.0035 1.9397 3.7278
Mn 1.4310 0.0000 2.6750
As 1.4253 1.9397 1.2271
```

Output
space-group type	Pm (6)
energy of formation	0.001	eV/atom

VASP calculation (GGA-PBE) on a relaxed Mg2In2Bi crystal.

Cell and atoms, written as extended XYZ:
```
10
Lattice="8.6772 0.0000 0.0000 0.0000 8.6772 0.0000 0.0000 0.0000 3.4507" Properties=species:S:1:pos:R:3 pbc="T T T"
Mg 1.1040 3.2346 0.0000
Mg 3.2346 7.5732 0.0000
Mg 5.4426 1.1040 0.0000
Mg 7.5732 5.4426 0.0000
In 1.4850 5.8236 1.7254
In 2.8536 1.4850 1.7254
In 5.8236 7.1922 1.7254
In 7.1922 2.8536 1.7254
Bi 0.0000 0.0000 0.0000
Bi 4.3386 4.3386 0.0000
```

Output
space-group type	P4/mbm (127)
energy of formation	-0.011	eV/atom
excess energy over the best structure of this formula in the dataset	39	meV per atom

VASP calculation (GGA-PBE) on a relaxed In2OsSe crystal.

Cell and atoms, written as extended XYZ:
```
4
Lattice="0.0000 3.3952 3.3952 3.3952 0.0000 3.3952 3.3952 3.3952 0.0000" Properties=species:S:1:pos:R:3 pbc="T T T"
In 0.0000 0.0000 0.0000
In 1.6976 1.6976 1.6976
Os 5.0928 5.0928 5.0928
Se 3.3952 3.3952 3.3952
```

Output
space-group type	F-43m (216)
formation energy from raw total energies	2.7	eV per formula unit

VASP calculation (GGA-PBE) on a relaxed Y3Hg crystal.

Cell and atoms, written as extended XYZ:
```
4
Lattice="3.6702 0.0000 0.0000 0.0000 4.9849 0.0000 -1.3117 0.0000 6.4479" Properties=species:S:1:pos:R:3 pbc="T T T"
Y 0.0000 0.0000 0.0000
Y 0.5115 2.4924 4.7334
Y 1.8470 2.4924 1.7145
Hg -0.6559 0.0000 3.2239
```

Output
space-group type	P2/m (10)
energy of formation	-0.159	eV/atom